# TbReO5

A relaxed structure of TbReO5 (PBE, OQMD).

abc: 5.4773 5.4773 7.5072
angles: 110.10 110.10 70.81
With the nearest neighbours (Å) after each atom.
Element x y z (fractional)
O  0.2786  0.6965  0.0374  1 Re 1.88
O  0.2440  0.2071  0.1164  1 Re 1.83
O  0.9263  0.0737  0.2500  2 Re 1.93
O  0.7929  0.7560  0.3836  1 Re 1.83
O  0.3035  0.7214  0.4626  1 Re 1.88
O  0.6965  0.2786  0.5374  1 Re 1.88
O  0.2071  0.2440  0.6164  1 Re 1.83
O  0.0737  0.9263  0.7500  2 Re 1.93
O  0.7560  0.7929  0.8836  1 Re 1.83
O  0.7214  0.3035  0.9626  1 Re 1.88
Re  0.0000  0.0000  0.0000  6 O 1.83-1.93
Re  0.0000  0.0000  0.5000  6 O 1.83-1.93
Tb  0.5518  0.4482  0.2500  7 O 2.23-2.42
Tb  0.4482  0.5518  0.7500  7 O 2.23-2.42

total DFT energy (no corrections) = -8.21 eV per atom